Crystalline BaLa2In2 at its relaxed geometry. Source: the Alexandria database, functional GGA-PBE.

Calculated values
final energy: -3.7236 eV per atom
DFT formation energy: -273 meV/atom
ΔE to the lowest computed polymorph: 0.46 eV per formula unit
space group: I4/mmm, No. 139
magnetization: 0.000 μB/atom

Cell lengths 5.1081, 5.1081, 8.1079 Å; angles 71.64, 71.64, 90.00 degrees
Sites, in units of the cell vectors:
Ba  0.0000  0.0000  0.0000
In  0.5995  0.5995  0.8009
In  0.4005  0.4005  0.1991
La  0.7500  0.2500  0.5000
La  0.2500  0.7500  0.5000